VASP calculation (PBE+U) on an optimized crystal structure of Cs2CrCdO4.

Cell lengths 12.761, 11.701, 6.970 Å; angles 82.01, 65.24, 32.75 degrees
Atoms (fractional coordinates):
Cs (0.060, 0.060, 0.690)
Cs (0.310, 0.310, 0.940)
Cs (0.690, 0.690, 0.060)
Cs (0.940, 0.940, 0.310)
Cr (0.375, 0.375, 0.375)
Cr (0.625, 0.625, 0.625)
Cd (0.125, 0.125, 0.125)
Cd (0.875, 0.875, 0.875)
O (0.105, 0.561, 0.484)
O (0.350, 0.484, 0.561)
O (0.439, 0.895, 0.650)
O (0.484, 0.350, 0.105)
O (0.516, 0.650, 0.895)
O (0.561, 0.105, 0.350)
O (0.650, 0.516, 0.439)
O (0.895, 0.439, 0.516)

total magnetization: 0.000 μB per formula unit
final energy: -79.63 eV for the cell shown
N(E_F): 0.00 states/eV/f.u.
symmetry: No. 70
V: 460.6 Å³ per cell